Crystalline CeSmCd6 at its relaxed geometry, computed with PBE-GGA.

Cell: 4.9706 7.0047 11.4180 Å, 90.00 90.00 90.00°
Space group Amm2 (No. 38)
One atom of each set of equivalent atoms:
Ce1 0.0000 0.0000 0.0000
Sm1 0.5000 0.0000 0.2989
Cd1 0.0000 0.0000 0.4809
Cd2 0.0000 0.2212 0.7369
Cd3 0.5000 0.0000 0.8185
Cd4 0.5000 0.2229 0.5618

Results
Formation enthalpy at 0 K (kcal/mol of atoms): -5.64
Total magnetic moment (Bohr magnetons per cell): 1.9


Crystalline MgSc at its relaxed geometry, computed with PBE-GGA.

Cell: 3.2162 3.2162 5.3519 Å, 90.00 90.00 120.00°
Space group P-6m2 (No. 187)
One atom of each set of equivalent atoms:
Mg1 0.0000 0.0000 0.0000
Sc1 0.6667 0.3333 0.5000

Results
Formation enthalpy at 0 K (kcal/mol of atoms): 1.82
Total magnetic moment (Bohr magnetons per cell): 0.3


Crystalline Sc2Si3Pt9 at its relaxed geometry, computed with PBE-GGA.

Cell: 13.1175 7.6169 9.8472 Å, 90.00 116.43 90.00°
Space group C2/c (No. 15)
One atom of each set of equivalent atoms:
Sc1 0.1675 0.0854 0.2513
Si1 0.0885 0.2310 0.4971
Si2 0.2500 0.2500 0.0000
Pt1 0.0000 0.3584 0.2500
Pt2 0.0596 0.0784 0.9262
Pt3 0.1115 0.3023 0.7444
Pt4 0.1176 0.4096 0.0780
Pt5 0.2270 0.4140 0.4223

Results
Electronic total energy (eV/cell): -385.18
Total magnetic moment (Bohr magnetons per cell): 0.0


Crystalline RbY3Cu at its relaxed geometry, computed with PBE-GGA.

Cell: 5.4191 5.4191 5.4191 Å, 90.00 90.00 90.00°
Space group Pm-3m (No. 221)
One atom of each set of equivalent atoms:
Rb1 0.0000 0.0000 0.0000
Y1 0.0000 0.0000 0.5000
Cu1 0.5000 0.5000 0.5000

Results
Formation enthalpy at 0 K (kcal/mol of atoms): 36.86
Total magnetic moment (Bohr magnetons per cell): 0.0